[1]
La4Nd7Mg: optimized geometry, PBE-GGA.

Computed properties:
- DOS at the Fermi energy (states/eV/cell) = 20.22
- formation energy (eV/atom) = 0.075

Cell: 5.8033 5.8033 14.3334 Å, 90.00 90.00 120.00°
Space group P-3m1 (No. 164)
Inequivalent atoms, fractional coordinates:
La 0.3333 0.6667 0.1867 [2 per cell]
La 0.3333 0.6667 0.4336 [2 per cell]
Nd 0.0000 0.0000 0.2294 [2 per cell]
Nd 0.0000 0.0000 0.5000 [1 per cell]
Nd 0.3333 0.6667 0.6775 [2 per cell]
Nd 0.3333 0.6667 0.9263 [2 per cell]
Mg 0.0000 0.0000 0.0000 [1 per cell]



[2]
LaNd3Mg6: optimized geometry, PBE-GGA.

Computed properties:
- DOS at the Fermi energy (states/eV/cell) = 18.86
- formation energy (eV/atom) = -0.089

Cell: 9.5164 5.4013 11.5297 Å, 90.00 105.85 90.00°
Space group P2_1/m (No. 11)
Inequivalent atoms, fractional coordinates:
La 0.0531 0.2500 0.3925 [2 per cell]
Nd 0.2431 0.2500 0.9972 [2 per cell]
Nd 0.3510 0.7500 0.7940 [2 per cell]
Nd 0.4617 0.2500 0.6067 [2 per cell]
Mg 0.0497 0.7500 0.9043 [2 per cell]
Mg 0.1447 0.2500 0.7014 [2 per cell]
Mg 0.1467 0.7500 0.1943 [2 per cell]
Mg 0.2472 0.7500 0.4905 [2 per cell]
Mg 0.3409 0.2500 0.2929 [2 per cell]
Mg 0.4414 0.7500 0.0973 [2 per cell]



[3]
La2Nd7Mg: optimized geometry, PBE-GGA.

Computed properties:
- DOS at the Fermi energy (states/eV/cell) = 27.95
- formation energy (eV/atom) = 0.552

Cell: 8.7655 16.6898 5.4808 Å, 90.00 90.00 90.00°
Space group Cmmm (No. 65)
Inequivalent atoms, fractional coordinates:
La 0.0000 0.2067 0.0000 [4 per cell]
Nd 0.0000 0.0000 0.0000 [2 per cell]
Nd 0.0000 0.2811 0.5000 [4 per cell]
Nd 0.1804 0.3933 0.0000 [8 per cell]
Mg 0.0000 0.5000 0.5000 [2 per cell]



[4]
LaNd5Mg4: optimized geometry, PBE-GGA.

Computed properties:
- DOS at the Fermi energy (states/eV/cell) = 12.04
- formation energy (eV/atom) = -0.080

Cell: 3.8486 3.8486 20.8360 Å, 90.00 90.00 90.00°
Space group P4/mmm (No. 123)
Inequivalent atoms, fractional coordinates:
La 0.0000 0.0000 0.0000 [1 per cell]
Nd 0.5000 0.5000 0.1215 [2 per cell]
Nd 0.5000 0.5000 0.3115 [2 per cell]
Nd 0.5000 0.5000 0.5000 [1 per cell]
Mg 0.0000 0.0000 0.2164 [2 per cell]
Mg 0.0000 0.0000 0.4053 [2 per cell]



[5]
La2Nd2Mg: optimized geometry, PBE-GGA.

Computed properties:
- DOS at the Fermi energy (states/eV/cell) = 16.35
- distance to the lowest polymorph of the same formula (meV/atom) = 372
- formation energy (eV/atom) = 0.344

Cell: 4.5394 4.5394 18.1656 Å, 90.00 90.00 90.00°
Space group I4/mmm (No. 139)
Inequivalent atoms, fractional coordinates:
La 0.0000 0.0000 0.0893 [4 per cell]
Nd 0.0000 0.5000 0.2500 [4 per cell]
Mg 0.0000 0.0000 0.5000 [2 per cell]



[6]
LaNd3Mg4: optimized geometry, PBE-GGA.

Computed properties:
- DOS at the Fermi energy (states/eV/cell) = 8.44
- formation energy (eV/atom) = -0.114

Cell: 3.9192 5.5145 11.0279 Å, 90.00 90.00 90.00°
Space group Pmmm (No. 47)
Inequivalent atoms, fractional coordinates:
La 0.0000 0.0000 0.0000 [1 per cell]
Nd 0.0000 0.0000 0.5000 [1 per cell]
Nd 0.0000 0.5000 0.2503 [2 per cell]
Mg 0.5000 0.0000 0.2536 [2 per cell]
Mg 0.5000 0.5000 0.0000 [1 per cell]
Mg 0.5000 0.5000 0.5000 [1 per cell]



[7]
LaNdMgOs: optimized geometry, PBE-GGA.

Computed properties:
- DOS at the Fermi energy (states/eV/cell) = 16.74
- formation energy (eV/atom) = 0.030

Cell: 7.3581 7.3581 7.3581 Å, 90.00 90.00 90.00°
Space group F-43m (No. 216)
Inequivalent atoms, fractional coordinates:
La 0.0000 0.0000 0.0000 [4 per cell]
Nd 0.0000 0.0000 0.5000 [4 per cell]
Mg 0.2500 0.2500 0.7500 [4 per cell]
Os 0.2500 0.2500 0.2500 [4 per cell]



[8]
LaNdMgPb: optimized geometry, PBE-GGA.

Computed properties:
- DOS at the Fermi energy (states/eV/cell) = 13.09
- formation energy (eV/atom) = -0.352

Cell: 7.8669 7.8669 7.8669 Å, 90.00 90.00 90.00°
Space group F-43m (No. 216)
Inequivalent atoms, fractional coordinates:
La 0.0000 0.0000 0.0000 [4 per cell]
Nd 0.0000 0.0000 0.5000 [4 per cell]
Mg 0.2500 0.2500 0.7500 [4 per cell]
Pb 0.2500 0.2500 0.2500 [4 per cell]



[9]
La5Pm2NdMg: optimized geometry, PBE-GGA.

Computed properties:
- DOS at the Fermi energy (states/eV/cell) = 56.15
- formation energy (eV/atom) = 0.077

Cell: 5.6906 20.2812 11.1015 Å, 90.00 90.00 90.00°
Space group Cmc2_1 (No. 36)
Inequivalent atoms, fractional coordinates:
La 0.0000 0.9999 0.0000 [4 per cell]
La 0.0000 0.1206 0.2504 [4 per cell]
La 0.0000 0.2123 0.9514 [4 per cell]
La 0.0000 0.2133 0.5508 [4 per cell]
La 0.0000 0.4893 0.2504 [4 per cell]
Pm 0.0000 0.3842 0.9620 [4 per cell]
Pm 0.0000 0.3850 0.5390 [4 per cell]
Nd 0.0000 0.3070 0.2510 [4 per cell]
Mg 0.0000 0.0944 0.7498 [4 per cell]



[10]
La2Pm5NdMg: optimized geometry, PBE-GGA.

Computed properties:
- DOS at the Fermi energy (states/eV/cell) = 53.55
- formation energy (eV/atom) = 0.082

Cell: 5.6446 20.3434 10.8330 Å, 90.00 90.00 90.00°
Space group Cmc2_1 (No. 36)
Inequivalent atoms, fractional coordinates:
La 0.0000 0.1159 0.0000 [4 per cell]
La 0.0000 0.1158 0.4155 [4 per cell]
Pm 0.0000 0.0139 0.7070 [4 per cell]
Pm 0.0000 0.2867 0.0092 [4 per cell]
Pm 0.0000 0.2895 0.4036 [4 per cell]
Pm 0.0000 0.3830 0.7074 [4 per cell]
Pm 0.0000 0.4980 0.4543 [4 per cell]
Nd 0.0000 0.2017 0.7072 [4 per cell]
Mg 0.0000 0.4057 0.2012 [4 per cell]



[11]
LaPm6Nd2Mg: optimized geometry, PBE-GGA.

Computed properties:
- DOS at the Fermi energy (states/eV/cell) = 53.32
- formation energy (eV/atom) = 0.099

Cell: 10.3480 13.9021 9.6702 Å, 90.00 101.42 90.00°
Space group C2/c (No. 15)
Inequivalent atoms, fractional coordinates:
La 0.0000 0.0648 0.2500 [4 per cell]
Pm 0.0516 0.3808 0.0952 [8 per cell]
Pm 0.0954 0.1746 0.9259 [8 per cell]
Pm 0.2471 0.2174 0.3287 [8 per cell]
Nd 0.2381 0.0313 0.5912 [8 per cell]
Mg 0.0000 0.3990 0.7500 [4 per cell]



[12]
La2PmNdMg: optimized geometry, PBE-GGA.

Computed properties:
- DOS at the Fermi energy (states/eV/cell) = 14.77
- formation energy (eV/atom) = 0.007

Cell: 6.2982 5.7838 9.6432 Å, 90.00 108.45 90.00°
Space group P2_1/m (No. 11)
Inequivalent atoms, fractional coordinates:
La 0.0109 0.2500 0.3870 [2 per cell]
La 0.2464 0.2500 0.7905 [2 per cell]
Pm 0.3655 0.7500 0.3973 [2 per cell]
Nd 0.1846 0.7500 0.0055 [2 per cell]
Mg 0.4159 0.2500 0.1954 [2 per cell]